[1]
B2HRu: relaxed, PBE-GGA.

Calculated values
* total magnetic moment: 0.00 μB/atom
* ΔE to the lowest computed polymorph: 562 meV/atom

Geometry as CIF:
```
data_B2HRu
_cell_length_a 5.070
_cell_length_b 5.070
_cell_length_c 5.070
_cell_angle_alpha 90.00
_cell_angle_beta 90.00
_cell_angle_gamma 90.00
_space_group_name_H-M_alt 'F m -3 m'
_space_group_IT_number 225
_space_group_name_Hall '-F 4 2 3'
loop_
_atom_site_label
_atom_site_fract_x
_atom_site_fract_y
_atom_site_fract_z
B1 0.250 0.250 0.250
H1 0.000 0.000 0.000
Ru1 0.000 0.000 0.500
```


[2]
YPaTc: relaxed, PBE-GGA.

Calculated values
* total magnetic moment: 0.00 μB/atom
* ΔE to the lowest computed polymorph: 9 meV/atom

Geometry as CIF:
```
data_YPaTc
_cell_length_a 3.481
_cell_length_b 3.481
_cell_length_c 11.335
_cell_angle_alpha 90.00
_cell_angle_beta 90.00
_cell_angle_gamma 90.00
_space_group_name_H-M_alt 'I 4 m m'
_space_group_IT_number 107
_space_group_name_Hall 'I 4 -2'
loop_
_atom_site_label
_atom_site_fract_x
_atom_site_fract_y
_atom_site_fract_z
Y1 0.000 0.000 0.000
Pa1 0.000 0.000 0.298
Tc1 0.000 0.000 0.686
```


[3]
PrHoTmZn: relaxed, PBE-GGA.

Calculated values
* total magnetic moment: 0.00 μB/atom
* ΔE to the lowest computed polymorph: 0 meV/atom

Geometry as CIF:
```
data_PrHoTmZn
_cell_length_a 3.565
_cell_length_b 3.565
_cell_length_c 8.754
_cell_angle_alpha 90.00
_cell_angle_beta 90.00
_cell_angle_gamma 90.00
_space_group_name_H-M_alt 'P 4 m m'
_space_group_IT_number 99
_space_group_name_Hall 'P 4 -2'
loop_
_atom_site_label
_atom_site_fract_x
_atom_site_fract_y
_atom_site_fract_z
Pr1 0.000 0.000 0.000
Ho1 0.500 0.500 0.698
Tm1 0.500 0.500 0.299
Zn1 0.000 0.000 0.495
```


[4]
Mn2TlCo: relaxed, PBE-GGA.

Calculated values
* total magnetic moment: 0.00 μB/atom
* ΔE to the lowest computed polymorph: 596 meV/atom

Geometry as CIF:
```
data_Mn2TlCo
_cell_length_a 6.014
_cell_length_b 6.014
_cell_length_c 6.014
_cell_angle_alpha 90.00
_cell_angle_beta 90.00
_cell_angle_gamma 90.00
_space_group_name_H-M_alt 'F m -3 m'
_space_group_IT_number 225
_space_group_name_Hall '-F 4 2 3'
loop_
_atom_site_label
_atom_site_fract_x
_atom_site_fract_y
_atom_site_fract_z
Mn1 0.250 0.250 0.250
Tl1 0.000 0.000 0.000
Co1 0.000 0.000 0.500
```


[5]
Tm3Zn2Ag: relaxed, PBE-GGA.

Calculated values
* total magnetic moment: 0.00 μB/atom

Geometry as CIF:
```
data_Tm3Zn2Ag
_cell_length_a 3.542
_cell_length_b 3.542
_cell_length_c 10.596
_cell_angle_alpha 90.00
_cell_angle_beta 90.00
_cell_angle_gamma 90.00
_space_group_name_H-M_alt 'P 4/m m m'
_space_group_IT_number 123
_space_group_name_Hall '-P 4 2'
loop_
_atom_site_label
_atom_site_fract_x
_atom_site_fract_y
_atom_site_fract_z
Tm1 0.000 0.000 0.000
Tm2 0.000 0.000 0.327
Zn1 0.500 0.500 0.161
Ag1 0.500 0.500 0.500
```


[6]
Pr2AsS5: relaxed, PBE-GGA.

Calculated values
* raw formation energy: -1.13 eV per atom
* total magnetic moment: 0.00 μB/atom

Geometry as CIF:
```
data_Pr2AsS5
_cell_length_a 9.169
_cell_length_b 10.420
_cell_length_c 5.244
_cell_angle_alpha 90.00
_cell_angle_beta 117.93
_cell_angle_gamma 90.00
_space_group_name_H-M_alt 'C 1 m 1'
_space_group_IT_number 8
_space_group_name_Hall 'C -2y'
loop_
_atom_site_label
_atom_site_fract_x
_atom_site_fract_y
_atom_site_fract_z
Pr1 0.000 0.230 0.000
As1 0.353 0.000 0.397
S1 0.036 0.500 0.902
S2 0.091 0.000 0.357
S3 0.100 0.000 0.842
S4 0.344 0.249 0.369
```


[7]
DyTh2Tl: relaxed, PBE-GGA.

Calculated values
* total magnetic moment: 0.00 μB/atom
* ΔE to the lowest computed polymorph: 120 meV/atom

Geometry as CIF:
```
data_DyTh2Tl
_cell_length_a 3.503
_cell_length_b 3.503
_cell_length_c 10.151
_cell_angle_alpha 90.00
_cell_angle_beta 90.00
_cell_angle_gamma 90.00
_space_group_name_H-M_alt 'P 4/m m m'
_space_group_IT_number 123
_space_group_name_Hall '-P 4 2'
loop_
_atom_site_label
_atom_site_fract_x
_atom_site_fract_y
_atom_site_fract_z
Dy1 0.000 0.000 0.000
Th1 0.500 0.500 0.260
Tl1 0.000 0.000 0.500
```


[8]
GaHg15: relaxed, PBE-GGA.

Calculated values
* total magnetic moment: 0.00 μB/atom

Geometry as CIF:
```
data_GaHg15
_cell_length_a 7.3802
_cell_length_b 7.3802
_cell_length_c 9.3662
_cell_angle_alpha 90.00
_cell_angle_beta 90.00
_cell_angle_gamma 120.00
_space_group_name_H-M_alt 'P -6 m 2'
_space_group_IT_number 187
_space_group_name_Hall 'P -6 2'
loop_
_atom_site_label
_atom_site_fract_x
_atom_site_fract_y
_atom_site_fract_z
Ga1 0.0000 0.0000 0.0000
Hg1 0.0000 0.0000 0.5000
Hg2 0.0280 0.5140 0.0000
Hg3 0.3273 0.1636 0.2385
Hg4 0.3333 0.6667 0.2751
Hg5 0.5159 0.0318 0.5000
```


[9]
Pd3Pt3Au: relaxed, PBE-GGA.

Calculated values
* total magnetic moment: 0.00 μB/atom
* ΔE to the lowest computed polymorph: 0 meV/atom

Geometry as CIF:
```
data_Pd3Pt3Au
_cell_length_a 7.4002
_cell_length_b 7.4002
_cell_length_c 4.6886
_cell_angle_alpha 90.00
_cell_angle_beta 90.00
_cell_angle_gamma 120.00
_space_group_name_H-M_alt 'P 63/m'
_space_group_IT_number 176
_space_group_name_Hall '-P 6c'
loop_
_atom_site_label
_atom_site_fract_x
_atom_site_fract_y
_atom_site_fract_z
Pd1 0.0928 0.4727 0.2500
Pt1 0.0416 0.2335 0.7500
Au1 0.3333 0.6667 0.7500
```


[10]
LiMnTlPt: relaxed, PBE-GGA.

Calculated values
* total magnetic moment: 1.00 μB/atom

Geometry as CIF:
```
data_LiMnTlPt
_cell_length_a 6.404
_cell_length_b 6.404
_cell_length_c 6.404
_cell_angle_alpha 90.00
_cell_angle_beta 90.00
_cell_angle_gamma 90.00
_space_group_name_H-M_alt 'F -4 3 m'
_space_group_IT_number 216
_space_group_name_Hall 'F -4 2 3'
loop_
_atom_site_label
_atom_site_fract_x
_atom_site_fract_y
_atom_site_fract_z
Li1 0.000 0.000 0.000
Mn1 0.000 0.000 0.500
Tl1 0.250 0.250 0.250
Pt1 0.250 0.250 0.750
```


[11]
Np2HgCl8: relaxed, PBE-GGA.

Calculated values
* raw formation energy: -1.39 eV per atom
* total magnetic moment: 0.54 μB/atom

Geometry as CIF:
```
data_Np2HgCl8
_cell_length_a 7.946
_cell_length_b 12.358
_cell_length_c 7.300
_cell_angle_alpha 90.00
_cell_angle_beta 90.94
_cell_angle_gamma 90.00
_space_group_name_H-M_alt 'C 1 m 1'
_space_group_IT_number 8
_space_group_name_Hall 'C -2y'
loop_
_atom_site_label
_atom_site_fract_x
_atom_site_fract_y
_atom_site_fract_z
Np1 0.000 0.177 0.000
Hg1 0.068 0.500 0.484
Cl1 0.108 0.000 0.190
Cl2 0.175 0.371 0.029
Cl3 0.310 0.167 0.827
Cl4 0.454 0.263 0.324
Cl5 0.468 0.500 0.766
```


[12]
Ce2PrNpAs4: relaxed, PBE-GGA.

Calculated values
* total magnetic moment: 0.66 μB/atom

Geometry as CIF:
```
data_Ce2PrNpAs4
_cell_length_a 7.282
_cell_length_b 4.213
_cell_length_c 7.311
_cell_angle_alpha 90.00
_cell_angle_beta 109.46
_cell_angle_gamma 90.00
_space_group_name_H-M_alt 'P 1 2/m 1'
_space_group_IT_number 10
_space_group_name_Hall '-P 2y'
loop_
_atom_site_label
_atom_site_fract_x
_atom_site_fract_y
_atom_site_fract_z
Ce1 0.000 0.000 0.000
Ce2 0.000 0.500 0.500
Pr1 0.500 0.000 0.500
Np1 0.500 0.500 0.000
As1 0.247 0.500 0.242
As2 0.253 0.000 0.757
```


[13]
CaY2BiN: relaxed, PBE-GGA.

Calculated values
* raw formation energy: -0.93 eV per atom
* total magnetic moment: 0.00 μB/atom

Geometry as CIF:
```
data_CaY2BiN
_cell_length_a 4.828
_cell_length_b 4.828
_cell_length_c 4.976
_cell_angle_alpha 90.00
_cell_angle_beta 90.00
_cell_angle_gamma 90.00
_space_group_name_H-M_alt 'P 4/m m m'
_space_group_IT_number 123
_space_group_name_Hall '-P 4 2'
loop_
_atom_site_label
_atom_site_fract_x
_atom_site_fract_y
_atom_site_fract_z
Ca1 0.000 0.000 0.000
Y1 0.000 0.500 0.500
Bi1 0.500 0.500 0.000
N1 0.000 0.000 0.500
```


no.,uncorrected energy (eV/cell),volume (Å³/cell)
1,-86.04,130.3
2,-53.48,137.4
3,-15.76,111.2
4,-96.96,217.5
5,-20.93,133.0
6,-87.84,442.7
7,-21.73,124.5
8,-6.99,441.8
9,-73.77,222.4
10,-80.50,262.7
11,-112.56,716.7
12,-58.19,211.5
13,-31.80,116.0